Cs2SrLi2Cl6: optimized geometry, PBE-GGA.

Crystal system = monoclinic
Calculated density = 2553 kg/m3
Size of the total moment = 0.11 μB per cell
ΔE_f (raw) = -47.03 kcal/mol of atoms

Cell: 13.1111 7.6962 8.3749 Å, 90.00 116.75 90.00°
Space group C2/m (No. 12)
Symmetry-distinct sites (fractional):
Cs: 0.2084 0.0000 0.1737 x4
Sr: 0.0000 0.0000 0.5000 x2
Li: 0.0625 0.5000 0.2619 x4
Cl: 0.0411 0.2507 0.7834 x8
Cl: 0.2443 0.0000 0.6195 x4

***

AcTbHoTm: optimized geometry, PBE-GGA.

Crystal system = cubic
Calculated formation energy = 0.1223 eV/atom
Calculated density = 8662 kg/m3
Size of the total moment = 0.00 μB per cell
Polymorph energy (0 for the lowest one) = 51 meV/atom

Cell: 8.2028 8.2028 8.2028 Å, 90.00 90.00 90.00°
Space group F-43m (No. 216)
Symmetry-distinct sites (fractional):
Ac: 0.0000 0.0000 0.0000 x4
Tb: 0.0000 0.0000 0.5000 x4
Ho: 0.2500 0.2500 0.7500 x4
Tm: 0.2500 0.2500 0.2500 x4

***

CrAg2Os: optimized geometry, PBE-GGA.

Crystal system = tetragonal
Calculated formation energy = 0.8354 eV/atom
Calculated density = 12389 kg/m3
Size of the total moment = 0.30 μB per cell
Polymorph energy (0 for the lowest one) = 521 meV/atom

Cell: 2.6339 2.6339 8.8473 Å, 90.00 90.00 90.00°
Space group P4/mmm (No. 123)
Symmetry-distinct sites (fractional):
Cr: 0.0000 0.0000 0.0000 x1
Ag: 0.5000 0.5000 0.2417 x2
Os: 0.0000 0.0000 0.5000 x1

***

Ba6Si2Ag: optimized geometry, PBE-GGA.

Crystal system = orthorhombic
Calculated density = 4264 kg/m3
Size of the total moment = 0.00 μB per cell
ΔE_f (raw) = -5.08 kcal/mol of atoms

Cell: 11.3169 11.4933 11.8319 Å, 90.00 90.00 90.00°
Space group Immm (No. 71)
Symmetry-distinct sites (fractional):
Ba: 0.0000 0.1915 0.1833 x8
Ba: 0.1835 0.2091 0.5000 x8
Ba: 0.2027 0.5000 0.2815 x8
Si: 0.0000 0.0000 0.3976 x4
Si: 0.1101 0.0000 0.0000 x4
Ag: 0.0000 0.5000 0.0000 x2
Ag: 0.0000 0.5000 0.5000 x2